A plane-wave DFT calculation with PBE was carried out for a relaxed DyHfZnFe crystal.

Calculated values
**Magnetic moment**: 1.08 μB per cell
**Energy of formation**: -28 kJ/mol of formula units
**Density of states at the Fermi level**: 9.471 states/eV per cell

```
data_DyHfZnFe
_space_group_name_H-M_alt 'F -4 3 m'
_space_group_IT_number 216
_space_group_name_Hall 'F -4 2 3'
_cell_length_a 6.662
_cell_length_b 6.662
_cell_length_c 6.662
_cell_angle_alpha 90.00
_cell_angle_beta 90.00
_cell_angle_gamma 90.00
loop_
_atom_site_label
_atom_site_type_symbol
_atom_site_fract_x
_atom_site_fract_y
_atom_site_fract_z
_atom_site_occupancy
Dy1 Dy 0.000 0.000 0.000 1
Hf1 Hf 0.000 0.000 0.500 1
Zn1 Zn 0.250 0.250 0.250 1
Fe1 Fe 0.250 0.250 0.750 1
```